Entry 1:
Here is an optimized crystal structure of Hg2BiPb9 from Alexandria. Energies are from PBE.

For the density, the calculation gives 11.064 g/cm3. The density of states at the Fermi level comes out at 9.9 states/eV per cell. The calculation puts the formation energy at 0.047 eV per atom. The spin magnetization is 0.00 μB/f.u. The value obtained for the total energy is -37.29 eV per cell.

The structure belongs to space group P4/mmm (No. 123); the cell edges are 5.938, 5.938 and 10.534 Å and the angles 90.00°, 90.00° and 90.00°. Symmetry generates all atoms from Hg at (0.000, 0.000, 0.163), Bi at (0.000, 0.000, 0.500), Pb at (0.000, 0.500, 0.000), Pb at (0.000, 0.500, 0.336), Pb at (0.500, 0.500, 0.171) and Pb at (0.500, 0.500, 0.500).

---

Entry 2:
Here is an optimized crystal structure of FeCo2Se4 from Alexandria. Energies are from PBE.

For the energy relative to the lowest polymorph listed for this composition, the calculation gives 0.0184 eV per atom. For the density, the calculation gives 7.128 g/cm3. The formation energy from raw total energies comes out at -248 meV/atom. The density of states at the Fermi level comes out at 11.2 states/eV per cell. The spin magnetization is 2.32 μB/f.u. The value obtained for the total energy is -76.70 eV per cell.

The structure belongs to space group Cm (No. 8); the cell edges are 12.046, 3.517 and 6.069 Å and the angles 90.00°, 117.51° and 90.00°. Symmetry generates all atoms from Fe at (0.000, 0.000, 0.000), Co at (0.245, 0.500, 0.702), Co at (0.478, 0.000, 0.397), Se at (0.106, 0.000, 0.717), Se at (0.130, 0.500, 0.256), Se at (0.352, 0.500, 0.151) and Se at (0.377, 0.000, 0.676).

---

Entry 3:
Here is an optimized crystal structure of Dy6RhSe2S3 from Alexandria. Energies are from PBE.

For the density, the calculation gives 8.157 g/cm3. The formation energy from raw total energies comes out at -1703 meV/atom. The density of states at the Fermi level comes out at 10.5 states/eV per cell. The spin magnetization is 0.00 μB/f.u. The value obtained for the total energy is -149.51 eV per cell.

The structure belongs to space group C2/m (No. 12); the cell edges are 17.483, 3.938 and 8.089 Å and the angles 90.00°, 103.12° and 90.00°. Symmetry generates all atoms from Dy at (0.003, 0.000, 0.262), Dy at (0.162, 0.500, 0.094), Dy at (0.164, 0.500, 0.572), Rh at (0.000, 0.500, 0.500), Se at (0.168, 0.000, 0.838), S at (0.000, 0.500, 0.000) and S at (0.171, 0.000, 0.334).

---

Entry 4:
Here is an optimized crystal structure of Tm3Mg2Zn from Alexandria. Energies are from PBE.

For the density, the calculation gives 6.898 g/cm3. The density of states at the Fermi level comes out at 6.4 states/eV per cell. The calculation puts the formation energy at -0.151 eV per atom. The spin magnetization is 0.00 μB/f.u. The value obtained for the total energy is -18.78 eV per cell.

The structure belongs to space group P4/mmm (No. 123); the cell edges are 3.588, 3.588 and 11.610 Å and the angles 90.00°, 90.00° and 90.00°. Symmetry generates all atoms from Tm at (0.000, 0.000, 0.000), Tm at (0.000, 0.000, 0.354), Mg at (0.500, 0.500, 0.174) and Zn at (0.500, 0.500, 0.500).

---

Entry 5:
Here is an optimized crystal structure of BeTl5 from Alexandria. Energies are from PBE.

For the energy relative to the lowest polymorph listed for this composition, the calculation gives 0.0000 eV per atom. For the density, the calculation gives 10.328 g/cm3. The density of states at the Fermi level comes out at 4.8 states/eV per cell. The calculation puts the formation energy at 0.266 eV per atom. The spin magnetization is 0.00 μB/f.u. The value obtained for the total energy is -27.92 eV per cell.

The structure belongs to space group Cm (No. 8); the cell edges are 12.344, 3.433 and 7.976 Å and the angles 90.00°, 101.25° and 90.00°. Symmetry generates all atoms from Be at (0.000, 0.000, 0.000), Tl at (0.058, 0.000, 0.648), Tl at (0.177, 0.500, 0.031), Tl at (0.252, 0.500, 0.449), Tl at (0.351, 0.000, 0.816) and Tl at (0.452, 0.000, 0.257).

---

Entry 6:
Here is an optimized crystal structure of TlNiBr2 from Alexandria. Energies are from PBE.

For the energy relative to the lowest polymorph listed for this composition, the calculation gives 0.0207 eV per atom. For the density, the calculation gives 6.460 g/cm3. The formation energy from raw total energies comes out at -333 meV/atom. The density of states at the Fermi level comes out at 4.6 states/eV per cell. The spin magnetization is 0.93 μB/f.u. The value obtained for the total energy is -25.65 eV per cell.

The structure belongs to space group Immm (No. 71); the cell edges are 3.607, 6.187 and 9.744 Å and the angles 90.00°, 90.00° and 90.00°. Symmetry generates all atoms from Tl at (0.000, 0.000, 0.000), Ni at (0.000, 0.000, 0.500) and Br at (0.000, 0.500, 0.170).

---

Entry 7:
Here is an optimized crystal structure of ZrInPt4 from Alexandria. Energies are from PBE.

For the density, the calculation gives 15.029 g/cm3. The density of states at the Fermi level comes out at 7.1 states/eV per cell. The calculation puts the formation energy at -0.811 eV per atom. The spin magnetization is 0.00 μB/f.u. The value obtained for the total energy is -161.27 eV per cell.

The structure belongs to space group Cmcm (No. 63); the cell edges are 4.037, 19.108 and 5.652 Å and the angles 90.00°, 90.00° and 90.00°. Symmetry generates all atoms from Zr at (0.000, 0.079, 0.250), In at (0.000, 0.229, 0.750), Pt at (0.000, 0.072, 0.750), Pt at (0.000, 0.351, 0.002) and Pt at (0.000, 0.500, 0.000).

---

Entry 8:
Here is an optimized crystal structure of TaTi4Au2 from Alexandria. Energies are from PBE.

For the density, the calculation gives 8.554 g/cm3. The density of states at the Fermi level comes out at 18.4 states/eV per cell. The calculation puts the formation energy at 0.632 eV per atom. The spin magnetization is 0.01 μB/f.u. The value obtained for the total energy is -91.13 eV per cell.

The structure belongs to space group I4/mmm (No. 139); the cell edges are 4.723, 4.723 and 13.340 Å and the angles 90.00°, 90.00° and 90.00°. Symmetry generates all atoms from Ta at (0.000, 0.000, 0.000), Ti at (0.000, 0.000, 0.191), Ti at (0.000, 0.500, 0.000) and Au at (0.000, 0.000, 0.386).

---

Entry 9:
Here is an optimized crystal structure of CdW2Cl from Alexandria. Energies are from PBE.

For the energy relative to the lowest polymorph listed for this composition, the calculation gives 0.5654 eV per atom. For the density, the calculation gives 9.938 g/cm3. The formation energy from raw total energies comes out at 796 meV/atom. The density of states at the Fermi level comes out at 7.0 states/eV per cell. The spin magnetization is 0.00 μB/f.u. The value obtained for the total energy is -50.97 eV per cell.

The structure belongs to space group Imm2 (No. 44); the cell edges are 3.118, 4.942 and 11.182 Å and the angles 90.00°, 90.00° and 90.00°. Symmetry generates all atoms from Cd at (0.000, 0.000, 0.000), W at (0.000, 0.000, 0.478), W at (0.000, 0.500, 0.143) and Cl at (0.000, 0.500, 0.776).

---

Entry 10:
Here is an optimized crystal structure of In2ReHg from Alexandria. Energies are from PBE.

For the density, the calculation gives 11.081 g/cm3. The density of states at the Fermi level comes out at 3.8 states/eV per cell. The calculation puts the formation energy at 0.416 eV per atom. The spin magnetization is 0.00 μB/f.u. The value obtained for the total energy is -33.13 eV per cell.

The structure belongs to space group Imm2 (No. 44); the cell edges are 2.834, 4.771 and 13.661 Å and the angles 90.00°, 90.00° and 90.00°. Symmetry generates all atoms from In at (0.000, 0.000, 0.000), In at (0.000, 0.500, 0.189), Re at (0.000, 0.500, 0.681) and Hg at (0.000, 0.000, 0.370).

---

Entry 11:
Here is an optimized crystal structure of PuTl2Hg from Alexandria. Energies are from PBE.

For the energy relative to the lowest polymorph listed for this composition, the calculation gives 0.0909 eV per atom. For the density, the calculation gives 13.082 g/cm3. The density of states at the Fermi level comes out at 9.4 states/eV per cell. The calculation puts the formation energy at 0.047 eV per atom. The spin magnetization is 6.18 μB/f.u. The value obtained for the total energy is -19.18 eV per cell.

The structure belongs to space group P4/mmm (No. 123); the cell edges are 3.775, 3.775 and 7.600 Å and the angles 90.00°, 90.00° and 90.00°. Symmetry generates all atoms from Pu at (0.000, 0.000, 0.000), Tl at (0.500, 0.500, 0.266) and Hg at (0.000, 0.000, 0.500).

---

Entry 12:
Here is an optimized crystal structure of Tb6Dy3ErTm2 from Alexandria. Energies are from PBE.

For the density, the calculation gives 8.658 g/cm3. The density of states at the Fermi level comes out at 31.1 states/eV per cell. The calculation puts the formation energy at 0.017 eV per atom. The spin magnetization is 0.00 μB/f.u. The value obtained for the total energy is -109.77 eV per cell.

The structure belongs to space group C2/m (No. 12); the cell edges are 6.121, 10.593 and 11.691 Å and the angles 90.00°, 100.00° and 90.00°. Symmetry generates all atoms from Tb at (0.250, 0.000, 0.249), Tb at (0.250, 0.167, 0.751), Dy at (0.000, 0.000, 0.500), Dy at (0.000, 0.333, 0.500), Er at (0.000, 0.500, 0.000) and Tm at (0.000, 0.167, 0.000).

---

Entry 13:
Here is an optimized crystal structure of Li2BiF8 from Alexandria. Energies are from PBE.

For the energy relative to the lowest polymorph listed for this composition, the calculation gives 0.0000 eV per atom. For the density, the calculation gives 4.146 g/cm3. The formation energy from raw total energies comes out at -2034 meV/atom. The spin magnetization is 1.02 μB/f.u. The value obtained for the total energy is -45.05 eV per cell.

The structure belongs to space group P1 (No. 1); the cell edges are 5.499, 5.501 and 6.206 Å and the angles 100.28°, 115.75° and 107.71°. Symmetry generates all atoms from Li at (0.000, 0.000, 0.000), Li at (0.238, 0.393, 0.632), Bi at (0.590, 0.673, 0.260), F at (0.000, 0.609, 0.602), F at (0.233, 0.314, 0.934), F at (0.281, 0.830, 0.109), F at (0.386, 0.398, 0.390), F at (0.619, 0.700, 0.931), F at (0.681, 0.926, 0.602), F at (0.813, 0.418, 0.227) and F at (0.991, 0.007, 0.384).